No. 1
Entry from Alexandria via LeMat-Bulk: a relaxed AcIn2Au10 crystal (PBE-GGA).

Fermi-level density of states: 0.334 states/eV per atom
ρ: 14.71 g cm⁻³
volume: 1095.59 Å³ per cell
energy of formation: -0.2487 eV per atom

```
data_AcIn2Au10
_chemical_formula_sum 'Ac4 In8 Au40'
_cell_length_a 6.015
_cell_length_b 12.807
_cell_length_c 14.222
_cell_angle_alpha 90.00
_cell_angle_beta 90.00
_cell_angle_gamma 90.00
_symmetry_space_group_name_H-M 'F m m m'
_symmetry_Int_Tables_number 69
_symmetry_space_group_name_Hall '-F 2 2'
loop_
_atom_site_label
_atom_site_type_symbol
_atom_site_fract_x
_atom_site_fract_y
_atom_site_fract_z
Ac1 Ac 0.000 0.000 0.000
In1 In 0.250 0.000 0.250
Au1 Au 0.000 0.109 0.393
Au2 Au 0.000 0.172 0.168
Au3 Au 0.250 0.250 0.000
```

No. 2
Entry from Alexandria via LeMat-Bulk: a relaxed AcIn9Au2 crystal (PBE-GGA).

Fermi-level density of states: 0.372 states/eV per atom
ρ: 8.65 g cm⁻³
volume: 1270.55 Å³ per cell
energy of formation: -0.1478 eV per atom

```
data_AcIn9Au2
_chemical_formula_sum 'Ac4 In36 Au8'
_cell_length_a 11.593
_cell_length_b 11.593
_cell_length_c 9.453
_cell_angle_alpha 90.00
_cell_angle_beta 90.00
_cell_angle_gamma 90.00
_symmetry_space_group_name_H-M 'I 41/a m d'
_symmetry_Int_Tables_number 141
loop_
_symmetry_equiv_pos_as_xyz
'x,y,z'
'-x,-y,-z'
'-y+1/4,x+3/4,z+1/4'
'y+1/4,-x+3/4,-z+1/4'
'-x+1/2,-y,z+1/2'
'x+1/2,y,-z+1/2'
'y+1/4,-x+1/4,z+3/4'
'-y+1/4,x+1/4,-z+3/4'
'x,-y,-z'
'-x,y,z'
'-y+1/4,-x+1/4,-z+3/4'
'y+1/4,x+1/4,z+3/4'
'-x+1/2,y,-z+1/2'
'x+1/2,-y,z+1/2'
'y+1/4,x+3/4,-z+1/4'
'-y+1/4,-x+3/4,z+1/4'
'x+1/2,y+1/2,z+1/2'
'-x+1/2,-y+1/2,-z+1/2'
'-y+3/4,x+1/4,z+3/4'
'y+3/4,-x+1/4,-z+3/4'
'-x,-y+1/2,z'
'x,y+1/2,-z'
'y+3/4,-x+3/4,z+1/4'
'-y+3/4,x+3/4,-z+1/4'
'x+1/2,-y+1/2,-z+1/2'
'-x+1/2,y+1/2,z+1/2'
'-y+3/4,-x+3/4,-z+1/4'
'y+3/4,x+3/4,z+1/4'
'-x,y+1/2,-z'
'x,-y+1/2,z'
'y+3/4,x+1/4,-z+3/4'
'-y+3/4,-x+1/4,z+3/4'
loop_
_atom_site_label
_atom_site_type_symbol
_atom_site_fract_x
_atom_site_fract_y
_atom_site_fract_z
Ac1 Ac 0.000 0.250 0.375
In1 In 0.000 0.250 0.875
In2 In 0.126 0.058 0.658
Au1 Au 0.000 0.000 0.000
```

No. 3
Entry from Alexandria via LeMat-Bulk: a relaxed AcIn2Au4 crystal (PBE-GGA).

Fermi-level density of states: 0.470 states/eV per atom
ρ: 13.13 g cm⁻³
volume: 314.79 Å³ per cell
energy of formation: -0.4932 eV per atom

```
data_AcIn2Au4
_chemical_formula_sum 'Ac2 In4 Au8'
_cell_length_a 7.340
_cell_length_b 7.340
_cell_length_c 5.844
_cell_angle_alpha 90.00
_cell_angle_beta 90.00
_cell_angle_gamma 90.00
_symmetry_space_group_name_H-M 'I 4/m m m'
_symmetry_Int_Tables_number 139
_symmetry_space_group_name_Hall '-I 4 2'
loop_
_atom_site_label
_atom_site_type_symbol
_atom_site_fract_x
_atom_site_fract_y
_atom_site_fract_z
Ac1 Ac 0.000 0.000 0.000
In1 In 0.000 0.500 0.250
Au1 Au 0.194 0.194 0.500
```